Arrangement w

# PBE KNbC2, relaxed
# M_tot (Bohr magnetons per cell): 0.0
# Volume (Å³ per cell): 53.1
# Mass density (g/cm³): 4.88
data_KNbC2
_space_group_name_H-M_alt 'P 1'
_space_group_IT_number 1
_cell_length_a 4.2190
_cell_length_b 4.2190
_cell_length_c 4.2190
_cell_angle_alpha 60.00
_cell_angle_beta 60.00
_cell_angle_gamma 60.00
loop_
_space_group_symop_operation_xyz
'x,y,z'
loop_
_atom_site_label
_atom_site_fract_x
_atom_site_fract_y
_atom_site_fract_z
K1 0.0000 0.0000 0.0000
Nb1 0.5000 0.5000 0.5000
C1 0.2500 0.2500 0.2500
C2 0.7500 0.7500 0.7500

---

Arrangement x

# PBE KNbC2, relaxed
# M_tot (Bohr magnetons per cell): 0.0
# Volume (Å³ per cell): 181.2
# Mass density (g/cm³): 2.86
data_KNbC2
_space_group_name_H-M_alt 'P 1'
_space_group_IT_number 1
_cell_length_a 6.4134
_cell_length_b 6.4134
_cell_length_c 6.4134
_cell_angle_alpha 121.79
_cell_angle_beta 121.79
_cell_angle_gamma 86.93
loop_
_space_group_symop_operation_xyz
'x,y,z'
loop_
_atom_site_label
_atom_site_fract_x
_atom_site_fract_y
_atom_site_fract_z
K1 0.0000 0.0000 0.0000
K2 0.7500 0.2500 0.5000
Nb1 0.2500 0.7500 0.5000
Nb2 0.5000 0.5000 0.0000
C1 0.2836 0.6250 0.1586
C2 0.3750 0.5336 0.6586
C3 0.4664 0.1250 0.8414
C4 0.8750 0.7164 0.3414

---

Stability, highest: arrangement x

---

Arrangement w

# PBE KNbRh2C, relaxed
# M_tot (Bohr magnetons per cell): 0.0
# Volume (Å³ per cell): 99.8
# Mass density (g/cm³): 5.82
data_KNbRh2C
_space_group_name_H-M_alt 'P 1'
_space_group_IT_number 1
_cell_length_a 4.4830
_cell_length_b 4.4830
_cell_length_c 4.9643
_cell_angle_alpha 90.00
_cell_angle_beta 90.00
_cell_angle_gamma 90.00
loop_
_space_group_symop_operation_xyz
'x,y,z'
loop_
_atom_site_label
_atom_site_fract_x
_atom_site_fract_y
_atom_site_fract_z
K1 0.0000 0.0000 0.0000
Nb1 0.0000 0.0000 0.5000
Rh1 0.0000 0.5000 0.0000
Rh2 0.5000 0.0000 0.0000
C1 0.5000 0.5000 0.5000

---

Arrangement x

# PBE KNbRh2C, relaxed
# M_tot (Bohr magnetons per cell): 2.8
# Volume (Å³ per cell): 83.1
# Mass density (g/cm³): 6.99
data_KNbRh2C
_space_group_name_H-M_alt 'P 1'
_space_group_IT_number 1
_cell_length_a 4.0763
_cell_length_b 4.0763
_cell_length_c 4.9986
_cell_angle_alpha 90.00
_cell_angle_beta 90.00
_cell_angle_gamma 90.00
loop_
_space_group_symop_operation_xyz
'x,y,z'
loop_
_atom_site_label
_atom_site_fract_x
_atom_site_fract_y
_atom_site_fract_z
K1 0.0000 0.0000 0.0000
Nb1 0.5000 0.5000 0.0000
Rh1 0.0000 0.5000 0.5000
Rh2 0.5000 0.0000 0.5000
C1 0.0000 0.0000 0.5000

---

Stability, highest: arrangement x

---

Arrangement w

# PBE K2C2O5, relaxed
# M_tot (Bohr magnetons per cell): 0.0
# Volume (Å³ per cell): 143.9
# Mass density (g/cm³): 2.10
data_K2C2O5
_space_group_name_H-M_alt 'P 1'
_space_group_IT_number 1
_cell_length_a 6.5189
_cell_length_b 6.5189
_cell_length_c 5.3112
_cell_angle_alpha 95.73
_cell_angle_beta 95.73
_cell_angle_gamma 39.89
loop_
_space_group_symop_operation_xyz
'x,y,z'
loop_
_atom_site_label
_atom_site_fract_x
_atom_site_fract_y
_atom_site_fract_z
K1 0.1459 0.1459 0.4084
K2 0.8541 0.8541 0.5916
C1 0.3878 0.3878 0.0568
C2 0.6122 0.6122 0.9432
O1 0.3180 0.3180 0.8671
O2 0.3757 0.3757 0.2886
O3 0.5000 0.5000 0.0000
O4 0.6243 0.6243 0.7114
O5 0.6820 0.6820 0.1329

---

Arrangement x

# PBE K2C2O5, relaxed
# M_tot (Bohr magnetons per cell): 0.0
# Volume (Å³ per cell): 163.7
# Mass density (g/cm³): 1.85
data_K2C2O5
_space_group_name_H-M_alt 'P 1'
_space_group_IT_number 1
_cell_length_a 7.7668
_cell_length_b 7.7668
_cell_length_c 5.9113
_cell_angle_alpha 112.17
_cell_angle_beta 112.17
_cell_angle_gamma 29.90
loop_
_space_group_symop_operation_xyz
'x,y,z'
loop_
_atom_site_label
_atom_site_fract_x
_atom_site_fract_y
_atom_site_fract_z
K1 0.1674 0.1674 0.1681
K2 0.8326 0.8326 0.8319
C1 0.3994 0.3994 0.3985
C2 0.6006 0.6006 0.6015
O1 0.3584 0.3584 0.5486
O2 0.3595 0.3595 0.1671
O3 0.5000 0.5000 0.5000
O4 0.6405 0.6405 0.8329
O5 0.6416 0.6416 0.4514

---

Stability, highest: arrangement x

---

Arrangement w

# PBE KP3C, relaxed
# M_tot (Bohr magnetons per cell): 0.0
# Volume (Å³ per cell): 83.9
# Mass density (g/cm³): 2.85
data_KP3C
_space_group_name_H-M_alt 'P 1'
_space_group_IT_number 1
_cell_length_a 4.3786
_cell_length_b 4.3786
_cell_length_c 4.3786
_cell_angle_alpha 90.00
_cell_angle_beta 90.00
_cell_angle_gamma 90.00
loop_
_space_group_symop_operation_xyz
'x,y,z'
loop_
_atom_site_label
_atom_site_fract_x
_atom_site_fract_y
_atom_site_fract_z
K1 0.0000 0.0000 0.0000
P1 0.0000 0.5000 0.5000
P2 0.5000 0.0000 0.5000
P3 0.5000 0.5000 0.0000
C1 0.5000 0.5000 0.5000

---

Arrangement x

# PBE KP3C, relaxed
# M_tot (Bohr magnetons per cell): 0.0
# Volume (Å³ per cell): 143.5
# Mass density (g/cm³): 1.67
data_KP3C
_space_group_name_H-M_alt 'P 1'
_space_group_IT_number 1
_cell_length_a 5.2357
_cell_length_b 5.2357
_cell_length_c 5.2357
_cell_angle_alpha 90.00
_cell_angle_beta 90.00
_cell_angle_gamma 90.00
loop_
_space_group_symop_operation_xyz
'x,y,z'
loop_
_atom_site_label
_atom_site_fract_x
_atom_site_fract_y
_atom_site_fract_z
K1 0.0000 0.0000 0.0000
P1 0.0000 0.0000 0.5000
P2 0.0000 0.5000 0.0000
P3 0.5000 0.0000 0.0000
C1 0.5000 0.5000 0.5000

---

Stability, highest: arrangement w